No. 1
Cs2KHg2 after structural relaxation, computed with PBE.

Cell lengths 9.837, 9.837, 5.716 Å; angles 90.00, 90.00, 90.00 degrees
Sites, in units of the cell vectors:
1 Cs 0.172 0.328 0.500
2 K 0.500 0.500 0.000
3 Hg 0.616 0.884 0.000
4 Hg 0.384 0.116 0.000
5 K 0.000 0.000 0.000
6 Hg 0.116 0.616 0.000
7 Cs 0.328 0.828 0.500
8 Cs 0.828 0.672 0.500
9 Hg 0.884 0.384 0.000
10 Cs 0.672 0.172 0.500

Properties
polymorph energy (0 for the lowest one) = 0.0000 eV per atom

***

No. 2
Re2NiGe after structural relaxation, computed with PBE.

Cell lengths 4.284, 4.284, 4.284 Å; angles 60.00, 60.00, 60.00 degrees
Sites, in units of the cell vectors:
1 Re 0.000 0.000 0.000
2 Re 0.750 0.750 0.750
3 Ni 0.250 0.250 0.250
4 Ge 0.500 0.500 0.500

***

No. 3
HoAgAsO after structural relaxation, computed with PBE.

Cell lengths 3.936, 3.936, 9.331 Å; angles 90.00, 90.00, 90.00 degrees
Sites, in units of the cell vectors:
1 Ho 0.000 0.500 0.115
2 Ag 0.000 0.000 0.500
3 Ho 0.500 0.000 0.885
4 As 0.500 0.000 0.301
5 Ag 0.500 0.500 0.500
6 As 0.000 0.500 0.699
7 O 0.000 0.000 0.000
8 O 0.500 0.500 0.000

Properties
polymorph energy (0 for the lowest one) = 0.0000 eV per atom

***

No. 4
NdHoSi2 after structural relaxation, computed with PBE.

Cell lengths 9.983, 9.983, 4.354 Å; angles 90.00, 90.00, 154.90 degrees
Sites, in units of the cell vectors:
1 Ho 0.251 0.749 0.750
2 Si 0.648 0.352 0.750
3 Ho 0.749 0.251 0.250
4 Si 0.352 0.648 0.250
5 Si 0.473 0.527 0.250
6 Nd 0.911 0.089 0.750
7 Nd 0.089 0.911 0.250
8 Si 0.527 0.473 0.750

Properties
polymorph energy (0 for the lowest one) = 0.2174 eV per atom

***

No. 5
TbSc2 after structural relaxation, computed with PBE.

Cell lengths 4.494, 4.494, 8.081 Å; angles 90.00, 90.00, 90.00 degrees
Sites, in units of the cell vectors:
1 Tb 0.000 0.500 0.310
2 Tb 0.500 0.000 0.690
3 Sc 0.500 0.000 0.289
4 Sc 0.000 0.000 0.000
5 Sc 0.500 0.500 0.000
6 Sc 0.000 0.500 0.711

Properties
polymorph energy (0 for the lowest one) = 0.1913 eV per atom
ΔE_f = 21.6 kJ/mol of atoms

***

No. 6
Gd3PS2 after structural relaxation, computed with PBE.

Cell lengths 3.989, 3.989, 9.739 Å; angles 90.00, 90.00, 120.00 degrees
Sites, in units of the cell vectors:
1 Gd 0.000 0.000 0.500
2 Gd 0.333 0.667 0.837
3 P 0.000 0.000 0.000
4 S 0.333 0.667 0.336
5 S 0.667 0.333 0.664
6 Gd 0.667 0.333 0.163

***

no.,total energy (eV/atom)
1,-0.878
2,-8.476
3,-5.875
4,-5.620
5,-5.538
6,-6.531